MoRh2F | PBE+U | relaxed

POSCAR file:
```
MoRh2F
1.0
6.6149 0.0000 0.0000
0.0000 6.6149 0.0000
3.3074 3.3074 2.6990
F Rh Mo
2 4 2
Direct
0.5000 0.5000 0.0000 F
0.2500 0.7500 0.5000 F
0.6142 0.1250 0.2500 Rh
0.1358 0.6250 0.2500 Rh
0.3750 0.3858 0.7500 Rh
0.8750 0.8642 0.7500 Rh
0.7500 0.2500 0.5000 Mo
0.0000 0.0000 0.0000 Mo
```

Output
The calculated volume comes out at 14.762 Å³ per atom. The spin magnetization comes out at 0.000 μB per cell. The uncorrected energy is -44.52 eV per cell. Its distance to the lowest polymorph of the same formula is 61 meV/atom.